First-principles (GGA+U) data for a geometry-optimized Co2Hg2GeO6 structure, as listed in Alexandria.

The structure in POSCAR format:
```
Co2Hg2GeO6
1.0
2.5057 -4.2893 0.0000
2.5057 4.2893 0.0000
-1.8025 0.0000 6.7009
Co Hg Ge O
2 2 1 6
Direct
0.1671 0.8329 0.0000
0.8329 0.1671 0.0000
0.1729 0.8271 0.5000
0.8271 0.1729 0.5000
0.5000 0.5000 0.0000
0.1159 0.1159 0.8531
0.2164 0.5522 0.1458
0.4478 0.7836 0.8542
0.5522 0.2164 0.1458
0.7836 0.4478 0.8542
0.8841 0.8841 0.1469
```

Calculated values
DOS at the Fermi energy   5.76 states/eV/f.u.
Uncorrected energy   -4.97 eV/atom